# 1
The following is a DFT calculation (PBEsol) of crystalline Re2MoAu at its relaxed geometry.

Cell: 3.2764 3.2764 5.7309 Å, 90.00 90.00 90.00°
Atoms (fractional coordinates):
Au1 0.5000 0.5000 0.0000
Mo1 0.5000 0.5000 0.5000
Re1 0.0000 0.0000 0.7318
Re2 0.0000 0.0000 0.2682

Calculated values
Energy of formation (eV/atom): 0.39
Space group: P4/mmm, No. 123
VASP energy (eV/atom): -10.20

# 2
The following is a DFT calculation (PBEsol) of crystalline Be2CdAu2 at its relaxed geometry.

Cell: 2.9058 6.9096 6.9096 Å, 90.00 90.00 90.00°
Atoms (fractional coordinates):
Be1 0.0000 0.3737 0.8737
Be2 0.0000 0.8737 0.6263
Be3 0.0000 0.6263 0.1263
Be4 0.0000 0.1263 0.3737
Au1 0.5000 0.1600 0.6600
Au2 0.5000 0.6600 0.8400
Au3 0.5000 0.8400 0.3400
Au4 0.5000 0.3400 0.1600
Cd1 0.0000 0.0000 0.0000
Cd2 0.0000 0.5000 0.5000

Calculated values
Energy of formation (eV/atom): -0.14
Space group: P4/mbm, No. 127
VASP energy (eV/atom): -3.55

# 3
The following is a DFT calculation (PBEsol) of crystalline LiIr3F at its relaxed geometry.

Cell: 4.0944 4.0944 4.0944 Å, 90.00 90.00 90.00°
Last column: magnetic moment on the atom in μB.
Atoms (fractional coordinates):
Ir1 0.0000 0.5000 0.0000  0.71
Ir2 0.0000 0.0000 0.5000  0.71
Ir3 0.5000 0.0000 0.0000  0.71
Li1 0.0000 0.0000 0.0000  -0.01
F1 0.5000 0.5000 0.5000  0.22

Calculated values
Formation energy without anion corrections (eV/atom): 1.57
Space group: Pm-3m, No. 221
VASP energy (eV/atom): -5.10

Number 1: total magnetic moment 0.00 μB per cell, N(E_F) 1.98 states/eV/cell. Number 2: total magnetic moment 0.00 μB per cell, N(E_F) 1.33 states/eV/cell. Number 3: total magnetic moment 2.42 μB per cell, N(E_F) 5.94 states/eV/cell.